No. 1
## KFe2Ni (PBEsol)

Data for KFe2Ni after structural relaxation.

Cell lengths 3.0806, 3.0806, 7.4723 Å; angles 90.00, 90.00, 90.00 degrees
Last column: nearest neighbours and their distance in Å.
Fractional coordinates of all 4 atoms:
K  0.0000  0.0000  0.0000  4 K 3.08, 8 Fe 3.44
Fe  0.5000  0.5000  0.3561  1 Fe 2.15
Fe  0.5000  0.5000  0.6439  1 Fe 2.15
Ni  0.0000  0.0000  0.5000  8 Fe 2.43

Summary:
Raw total energy: -5.548 eV per atom
Calculated formation energy: 0.757 eV per atom
N(E_F): 0.58 states/eV/atom


No. 2
## Zn2SeBr (PBEsol)

Data for Zn2SeBr after structural relaxation.

Cell lengths 3.7008, 3.5407, 6.4456 Å; angles 90.00, 92.00, 90.00 degrees
Last column: nearest neighbours and their distance in Å.
Fractional coordinates of all 4 atoms:
Zn  0.0972  0.0000  0.3100  1 Zn 2.58, 2 Se 2.59, 2 Br 2.68
Zn  0.9028  0.0000  0.6900  1 Zn 2.58, 2 Se 2.59, 2 Br 2.68
Se  0.5000  0.5000  0.5000  4 Zn 2.59
Br  0.0000  0.5000  0.0000  4 Zn 2.68

Summary:
Energy relative to the elements, uncorrected: -224 meV per atom
Raw total energy: -2.445 eV per atom
N(E_F): 0.19 states/eV/atom


No. 3
## BaSr2Fe (PBEsol)

Data for BaSr2Fe after structural relaxation.

Cell lengths 5.2775, 5.2775, 5.3156 Å; angles 90.00, 90.00, 90.00 degrees
Last column: nearest neighbours and their distance in Å.
Fractional coordinates of all 4 atoms:
Ba  0.0000  0.0000  0.0000  4 Fe 3.73, 8 Sr 3.75
Sr  0.0000  0.5000  0.5000  4 Sr 3.73, 4 Fe 3.75, 4 Ba 3.75
Sr  0.5000  0.0000  0.5000  4 Sr 3.73, 4 Fe 3.75, 4 Ba 3.75
Fe  0.5000  0.5000  0.0000  4 Ba 3.73, 8 Sr 3.75

Summary:
Raw total energy: -3.004 eV per atom
Calculated formation energy: 0.694 eV per atom
N(E_F): 2.23 states/eV/atom


No. 4
## Si3IO (PBEsol)

Data for Si3IO after structural relaxation.

Cell lengths 5.2747, 5.2747, 5.2747 Å; angles 90.00, 90.00, 90.00 degrees
Last column: nearest neighbours and their distance in Å.
Fractional coordinates of all 5 atoms:
Si  0.0000  0.0000  0.5000  2 I 2.64
Si  0.0000  0.5000  0.0000  2 I 2.64
Si  0.5000  0.0000  0.0000  2 I 2.64
I  0.0000  0.0000  0.0000  6 Si 2.64
O  0.5000  0.5000  0.5000  12 Si 3.73

Summary:
Energy relative to the elements, uncorrected: 2084 meV per atom
Raw total energy: -2.767 eV per atom
N(E_F): 0.63 states/eV/atom


No. 5
## Sc3SbPt (PBEsol)

Data for Sc3SbPt after structural relaxation.

Cell lengths 5.0022, 5.0022, 5.0022 Å; angles 90.00, 90.00, 90.00 degrees
Last column: nearest neighbours and their distance in Å.
Fractional coordinates of all 5 atoms:
Sc  0.0000  0.0000  0.5000  2 Pt 2.50
Sc  0.0000  0.5000  0.0000  2 Pt 2.50
Sc  0.5000  0.0000  0.0000  2 Pt 2.50
Sb  0.5000  0.5000  0.5000  12 Sc 3.54
Pt  0.0000  0.0000  0.0000  6 Sc 2.50

Summary:
Energy relative to the elements, uncorrected: -527 meV per atom
Raw total energy: -6.794 eV per atom
N(E_F): 1.38 states/eV/atom


No. 6
## CrHW3 (PBEsol)

Data for CrHW3 after structural relaxation.

Cell lengths 3.9560, 3.9560, 3.9560 Å; angles 90.00, 90.00, 90.00 degrees
Last column: nearest neighbours and their distance in Å.
Fractional coordinates of all 5 atoms:
Cr  0.0000  0.0000  0.0000  12 W 2.80
H  0.5000  0.5000  0.5000  6 W 1.98
W  0.0000  0.5000  0.5000  2 H 1.98
W  0.5000  0.0000  0.5000  2 H 1.98
W  0.5000  0.5000  0.0000  2 H 1.98

Summary:
Raw total energy: -10.578 eV per atom
N(E_F): 1.01 states/eV/atom


| no. | total moment (μB/f.u.) |
| --- | --- |
| 1 | 6.362 |
| 2 | 0.000 |
| 3 | 2.106 |
| 4 | 1.698 |
| 5 | 0.001 |
| 6 | 0.011 |